(1)
Entry from Alexandria via LeMat-Bulk: a relaxed CaAc6Ru2 crystal (PBE).

Properties
V in Å³ per atom: 38.283
Calculated density in g/cm3: 7.73
Formation energy from the elements in meV/atom: -57.7
Total DFT energy (no corrections) in Ry per atom: -0.3734
Symmetry: C2/m, No. 12
Spin magnetization in μB/atom: 0.000

Cell lengths 8.1169, 8.1169, 11.6528 Å; angles 112.90, 112.90, 29.35 degrees
With the nearest neighbours (Å) after each atom.
Positions (direct):
Ca1 0.0000 0.0000 0.0000  6 Ac 3.92-4.12, 2 Ca 4.11
Ac1 0.0319 0.0319 0.3691  4 Ru 3.08-3.26
Ac2 0.2555 0.2555 0.6760  2 Ru 2.98
Ac3 0.3408 0.3408 0.1224  1 Ru 2.93
Ac4 0.6592 0.6592 0.8776  1 Ru 2.93
Ac5 0.7445 0.7445 0.3240  2 Ru 2.98
Ac6 0.9681 0.9681 0.6309  4 Ru 3.08-3.26
Ru1 0.3940 0.3940 0.3937  7 Ac 2.93-3.26, 1 Ru 3.25
Ru2 0.6060 0.6060 0.6063  7 Ac 2.93-3.26, 1 Ru 3.25

***

(2)
Entry from Alexandria via LeMat-Bulk: a relaxed Cr2RuPbC crystal (PBE).

Properties
V in Å³ per atom: 21.975
Calculated density in g/cm3: 6.41
Formation energy from the elements in meV/atom: 2050.3
Total DFT energy (no corrections) in Ry per atom: -0.4587
Symmetry: P4/mmm, No. 123
Spin magnetization in μB/atom: 1.142

Cell lengths 4.6427, 4.6427, 5.0974 Å; angles 90.00, 90.00, 90.00 degrees
With the nearest neighbours (Å) after each atom.
Positions (direct):
Cr1 0.0000 0.5000 0.0000  2 Ru 2.32
Cr2 0.5000 0.0000 0.0000  2 Ru 2.32
Ru1 0.0000 0.0000 0.0000  4 Cr 2.32, 2 Pb 2.55
Pb1 0.0000 0.0000 0.5000  2 Ru 2.55
C1 0.5000 0.5000 0.5000  4 Pb 3.28, 8 Cr 3.45

***

(3)
Entry from Alexandria via LeMat-Bulk: a relaxed Rb4TeH2 crystal (PBE).

Properties
V in Å³ per atom: 39.169
Calculated density in g/cm3: 2.86
Total DFT energy (no corrections) in Ry per atom: -0.1787
Symmetry: Fddd, No. 70
Spin magnetization in μB/atom: 0.000

Cell lengths 10.4842, 8.9635, 8.9081 Å; angles 71.84, 54.33, 53.84 degrees
With the nearest neighbours (Å) after each atom.
Positions (direct):
Rb1 0.1341 0.2917 0.2921  3 H 3.01-3.24
Rb2 0.2179 0.7079 0.7083  3 H 3.01-3.24
Rb3 0.2917 0.1341 0.7821  3 H 3.01-3.24
Rb4 0.2921 0.7821 0.1341  3 H 3.01-3.24
Rb5 0.7079 0.2179 0.8659  3 H 3.01-3.24
Rb6 0.7083 0.8659 0.2179  3 H 3.01-3.24
Rb7 0.7821 0.2921 0.2917  3 H 3.01-3.24
Rb8 0.8659 0.7083 0.7079  3 H 3.01-3.24
Te1 0.3750 0.3750 0.3750  8 Rb 3.50-3.80
Te2 0.6250 0.6250 0.6250  8 Rb 3.50-3.80
H1 0.0000 0.0000 0.0000  6 Rb 3.01-3.24
H2 0.0000 0.0000 0.5000  6 Rb 3.01-3.24
H3 0.0000 0.5000 0.0000  6 Rb 3.01-3.24
H4 0.5000 0.0000 0.0000  6 Rb 3.01-3.24

***

(4)
Entry from Alexandria via LeMat-Bulk: a relaxed AgP2RuCl crystal (PBE).

Properties
V in Å³ per atom: 21.253
Calculated density in g/cm3: 4.79
Energy relative to the lowest polymorph listed for this composition in meV/atom: 0
Raw formation energy in meV per atom: 419.6
Total DFT energy (no corrections) in Ry per atom: -0.3336
Symmetry: P4/mmm, No. 123
Spin magnetization in μB/atom: 0.000

Cell lengths 4.4885, 4.4885, 5.2746 Å; angles 90.00, 90.00, 90.00 degrees
With the nearest neighbours (Å) after each atom.
Positions (direct):
Ag1 0.0000 0.0000 0.0000  4 Cl 3.17, 8 P 3.46
P1 0.0000 0.5000 0.5000  2 Ru 2.24
P2 0.5000 0.0000 0.5000  2 Ru 2.24
Ru1 0.5000 0.5000 0.5000  4 P 2.24
Cl1 0.5000 0.5000 0.0000  2 Ru 2.64

***

(5)
Entry from Alexandria via LeMat-Bulk: a relaxed LaNb2CuBrO7 crystal (PBE).

Properties
V in Å³ per atom: 15.280
Calculated density in g/cm3: 5.25
Energy relative to the lowest polymorph listed for this composition in meV/atom: 4
Raw formation energy in meV per atom: -2331.6
Total DFT energy (no corrections) in Ry per atom: -0.5728
Symmetry: Amm2, No. 38
Spin magnetization in μB/atom: 0.000

Cell lengths 11.8080, 5.5728, 5.5728 Å; angles 90.23, 90.00, 90.00 degrees
With the nearest neighbours (Å) after each atom.
Positions (direct):
La1 0.0000 0.2377 0.7623  8 O 2.47-2.67
La2 0.0000 0.7623 0.2377  8 O 2.47-2.67
Nb1 0.1914 0.2519 0.2519  2 O 1.81-1.98
Nb2 0.1914 0.7481 0.7481  2 O 1.81-1.99
Nb3 0.8086 0.2519 0.2519  2 O 1.81-1.98
Nb4 0.8086 0.7481 0.7481  2 O 1.81-1.99
Cu1 0.5000 0.2727 0.2727  2 O 1.85
Cu2 0.5000 0.7290 0.7290  2 O 1.85
Br1 0.5000 0.2369 0.7629  4 Cu 2.74-2.85
Br2 0.5000 0.7629 0.2369  4 Cu 2.74-2.85
O1 0.0000 0.2035 0.2035  2 Nb 2.29, 2 La 2.47
O2 0.0000 0.7965 0.7965  2 Nb 2.29, 2 La 2.47
O3 0.1351 0.5000 0.5000  2 Nb 2.06
O4 0.1529 0.9999 0.5000  2 Nb 2.03
O5 0.1529 0.5000 0.9999  2 Nb 2.03
O6 0.1812 0.0000 0.0000  2 Nb 1.98-1.99
O7 0.3436 0.2762 0.2762  1 Nb 1.81, 1 Cu 1.85
O8 0.3436 0.7241 0.7241  1 Nb 1.81, 1 Cu 1.85
O9 0.6564 0.2762 0.2762  1 Nb 1.81, 1 Cu 1.85
O10 0.6564 0.7241 0.7241  1 Nb 1.81, 1 Cu 1.85
O11 0.8188 0.0000 0.0000  2 Nb 1.98-1.99
O12 0.8471 0.9999 0.5000  2 Nb 2.03
O13 0.8471 0.5000 0.9999  2 Nb 2.03
O14 0.8649 0.5000 0.5000  2 Nb 2.06

***

(6)
Entry from Alexandria via LeMat-Bulk: a relaxed Ce2Al8Ag crystal (PBE).

Properties
V in Å³ per atom: 20.003
Calculated density in g/cm3: 4.56
Formation energy from the elements in meV/atom: -262.9
Total DFT energy (no corrections) in Ry per atom: -0.3177
Symmetry: P4/mmm, No. 123
Spin magnetization in μB/atom: 0.000

Cell lengths 4.3913, 4.3913, 11.4106 Å; angles 90.00, 90.00, 90.00 degrees
With the nearest neighbours (Å) after each atom.
Positions (direct):
Ce1 0.0000 0.0000 0.1878  12 Al 3.02-3.11
Ce2 0.0000 0.0000 0.8122  12 Al 3.02-3.11
Al1 0.0000 0.5000 0.0000  4 Ce 3.07, 8 Al 3.11
Al2 0.0000 0.5000 0.3694  2 Ag 2.65
Al3 0.0000 0.5000 0.6306  2 Ag 2.65
Al4 0.5000 0.0000 0.0000  4 Ce 3.07, 8 Al 3.11
Al5 0.5000 0.0000 0.3694  2 Ag 2.65
Al6 0.5000 0.0000 0.6306  2 Ag 2.65
Al7 0.5000 0.5000 0.1924  8 Al 2.98-3.11, 4 Ce 3.11
Al8 0.5000 0.5000 0.8076  8 Al 2.98-3.11, 4 Ce 3.11
Ag1 0.0000 0.0000 0.5000  8 Al 2.65

***

(7)
Entry from Alexandria via LeMat-Bulk: a relaxed Pm3HgGe2 crystal (PBE).

Properties
V in Å³ per atom: 25.881
Calculated density in g/cm3: 8.35
Energy relative to the lowest polymorph listed for this composition in meV/atom: 31
Formation energy from the elements in meV/atom: -552.9
Total DFT energy (no corrections) in Ry per atom: -0.3320
Symmetry: Cmmm, No. 65
Spin magnetization in μB/atom: 0.000

Cell lengths 8.5520, 8.5520, 4.7659 Å; angles 90.00, 90.00, 153.54 degrees
With the nearest neighbours (Å) after each atom.
Positions (direct):
Pm1 0.0000 0.0000 0.0000  4 Hg 3.08
Pm2 0.1654 0.8346 0.5000  6 Ge 3.11-3.37, 2 Hg 3.38, 2 Pm 3.43
Pm3 0.8346 0.1654 0.5000  6 Ge 3.11-3.37, 2 Hg 3.38, 2 Pm 3.43
Hg1 0.5000 0.5000 0.5000  8 Pm 3.08-3.38
Ge1 0.3081 0.6919 0.0000  2 Ge 2.75
Ge2 0.6919 0.3081 0.0000  2 Ge 2.75

***

(8)
Entry from Alexandria via LeMat-Bulk: a relaxed HgBiI crystal (PBE).

Properties
V in Å³ per atom: 38.004
Calculated density in g/cm3: 7.81
Energy relative to the lowest polymorph listed for this composition in meV/atom: 11
Raw formation energy in meV per atom: -156.6
Total DFT energy (no corrections) in Ry per atom: -0.1520
Symmetry: P1, No. 1
Spin magnetization in μB/atom: 0.000

Cell lengths 4.4910, 7.3118, 7.9822 Å; angles 112.72, 90.04, 107.85 degrees
With the nearest neighbours (Å) after each atom.
Positions (direct):
Hg1 0.0000 0.0000 0.0000  1 Bi 2.84, 2 I 3.05-3.06
Hg2 0.2646 0.5235 0.7125  1 Bi 2.86, 2 I 3.14-3.15
Bi1 0.0188 0.0308 0.6565  1 Hg 2.84, 2 Bi 3.07
Bi2 0.3632 0.7193 0.4593  1 Hg 2.86, 2 Bi 3.07
I1 0.5678 0.1320 0.2838  2 Hg 3.05-3.06
I2 0.7717 0.5356 0.9923  3 Hg 3.14-3.21

***

- Which of these has the highest V?
  Rb4TeH2